# 1
First-principles (GGA-PBE) data for a geometry-optimized CeSeF structure, as listed in Alexandria.

Cell: 4.6862 4.6862 4.6862 Å, 60.00 60.00 60.00°
Last column: nearest neighbours and their distance in Å.
Fractional coordinates of all 3 atoms:
Se 0.0000 0.0000 0.0000  4 Ce 2.87
F 0.5000 0.5000 0.5000  4 Ce 2.87
Ce 0.2500 0.2500 0.2500  4 F 2.87, 4 Se 2.87

Output
The final energy is -6.267 eV per atom. The space group is No. 216. Its crystal system is cubic. The value obtained for the uncorrected formation energy is -2.504 eV/atom.


# 2
First-principles (GGA-PBE) data for a geometry-optimized Ac2ThRu structure, as listed in Alexandria.

Cell: 3.9244 3.9244 11.1067 Å, 79.82 79.82 60.00°
Last column: nearest neighbours and their distance in Å.
Fractional coordinates of all 4 atoms:
Ru 0.5000 0.5000 0.5000  6 Ac 2.88
Ac 0.8878 0.8878 0.3366  3 Ru 2.88
Ac 0.1122 0.1122 0.6634  3 Ru 2.88
Th 0.0000 0.0000 0.0000  2 Ac 3.66, 6 Th 3.92

Output
The final energy is -5.859 eV per atom. The space group is No. 166. Its calculated formation energy is 369.3 meV per atom. Its crystal system is trigonal.